! PBE Ba2Bi2Te, optimized geometry; values from VASP
! - E_tot (eV/atom) = -3.764
! - total moment (μB per formula unit) = 0.00
! - uncorrected formation energy (kJ/mol of atoms) = -78.6
! - space group = No. 127
&SYSTEM
  ibrav = 0, nat = 10, ntyp = 3
/
ATOMIC_SPECIES
Ba 137.33 Ba.upf
Bi 208.98 Bi.upf
Te 127.60 Te.upf
CELL_PARAMETERS angstrom
9.2262 0.0000 0.0000
0.0000 9.2262 0.0000
0.0000 0.0000 5.2361
ATOMIC_POSITIONS angstrom
Ba 1.6507 2.9625 0.0000
Ba 2.9625 7.5756 0.0000
Ba 6.2638 1.6507 0.0000
Ba 7.5756 6.2638 0.0000
Bi 1.0289 5.6420 2.6181
Bi 3.5842 1.0289 2.6181
Bi 5.6420 8.1973 2.6181
Bi 8.1973 3.5842 2.6181
Te 0.0000 0.0000 0.0000
Te 4.6131 4.6131 0.0000